First-principles (PBE with a Hubbard U) data for a geometry-optimized V3NF structure, as listed in the Alexandria database.

abc: 4.207 4.207 4.207
angles: 90.00 90.00 90.00
Fractional coordinates of all 5 atoms:
V (0.000, 0.000, 0.500)
V (0.000, 0.500, 0.000)
V (0.500, 0.000, 0.000)
N (0.000, 0.000, 0.000)
F (0.500, 0.500, 0.500)

Computed properties:
- VASP energy: -31.3 eV/cell
- E above lowest polymorph: 0 meV/atom
- Space-group type: Pm-3m (221)
- Total magnetic moment: 10.39 Bohr magnetons per cell